Computed, not measured: an optimized crystal structure of LiFe2OF5 at the PBE+U level of DFT.

## Properties
Energy above the most stable polymorph in this dataset ... 422 meV per atom
Uncorrected energy ... -4.9875 eV per atom

The structure in CIF format:
```
data_LiFe2OF5
_chemical_formula_sum 'Li3 Fe6 O3 F15'
_cell_length_a 4.429
_cell_length_b 8.394
_cell_length_c 8.604
_cell_angle_alpha 60.86
_cell_angle_beta 89.88
_cell_angle_gamma 89.44
_symmetry_space_group_name_H-M 'P 1'
_symmetry_Int_Tables_number 1
_symmetry_space_group_name_Hall 'P 1'
loop_
_atom_site_label
_atom_site_type_symbol
_atom_site_fract_x
_atom_site_fract_y
_atom_site_fract_z
Li1 Li 0.000 0.000 0.000
Li2 Li 0.018 0.338 0.326
Li3 Li 0.513 0.665 0.670
Fe1 Fe 0.019 0.662 0.993
Fe2 Fe 0.023 0.334 0.665
Fe3 Fe 0.483 0.328 0.018
Fe4 Fe 0.489 0.019 0.669
Fe5 Fe 0.525 0.676 0.323
Fe6 Fe 0.984 0.978 0.347
O1 O 0.238 0.453 0.098
O2 O 0.253 0.125 0.767
O3 O 0.762 0.879 0.235
F1 F 0.235 0.101 0.448
F2 F 0.240 0.098 0.128
F3 F 0.254 0.453 0.441
F4 F 0.259 0.773 0.107
F5 F 0.264 0.788 0.773
F6 F 0.266 0.770 0.447
F7 F 0.271 0.440 0.779
F8 F 0.739 0.893 0.562
F9 F 0.751 0.207 0.232
F10 F 0.751 0.553 0.891
F11 F 0.755 0.554 0.552
F12 F 0.760 0.230 0.555
F13 F 0.764 0.563 0.213
F14 F 0.766 0.886 0.884
F15 F 0.775 0.235 0.885
```